(1)
DFT (PBE-GGA) results for a geometry-optimized Ba3AlPb structure.

Summary:
Energy: -2.534 eV/atom
DOS at the Fermi energy: 2.38 states/eV per atom
E_form: 0.11 eV per atom
SG: No. 221
ΔE to the lowest computed polymorph: 0 kJ/mol of formula units

```
data_Ba3AlPb
_symmetry_space_group_name_H-M 'P 1'
_symmetry_Int_Tables_number 1
_cell_length_a 6.402
_cell_length_b 6.402
_cell_length_c 6.402
_cell_angle_alpha 90.00
_cell_angle_beta 90.00
_cell_angle_gamma 90.00
loop_
_symmetry_equiv_pos_as_xyz
'x,y,z'
loop_
_atom_site_label
_atom_site_type_symbol
_atom_site_fract_x
_atom_site_fract_y
_atom_site_fract_z
Pb1 Pb 0.500 0.500 0.500
Ba1 Ba 0.000 0.500 0.000
Ba2 Ba 0.000 0.000 0.500
Ba3 Ba 0.500 0.000 0.000
Al1 Al 0.000 0.000 0.000
```

***

(2)
DFT (PBE-GGA) results for a geometry-optimized BaAl2Pb structure.

Summary:
Energy: -3.295 eV/atom
DOS at the Fermi energy: 0.60 states/eV per atom
E_form: -0.02 eV per atom
SG: No. 141

```
data_BaAl2Pb
_symmetry_space_group_name_H-M 'P 1'
_symmetry_Int_Tables_number 1
_cell_length_a 5.213
_cell_length_b 5.213
_cell_length_c 10.820
_cell_angle_alpha 76.06
_cell_angle_beta 76.06
_cell_angle_gamma 90.00
loop_
_symmetry_equiv_pos_as_xyz
'x,y,z'
loop_
_atom_site_label
_atom_site_type_symbol
_atom_site_fract_x
_atom_site_fract_y
_atom_site_fract_z
Pb1 Pb 0.000 0.000 0.000
Pb2 Pb 0.750 0.250 0.500
Ba1 Ba 0.500 0.500 0.000
Ba2 Ba 0.250 0.750 0.500
Al1 Al 0.875 0.125 0.250
Al2 Al 0.875 0.625 0.250
Al3 Al 0.375 0.125 0.750
Al4 Al 0.875 0.125 0.750
```

***

(3)
DFT (PBE-GGA) results for a geometry-optimized BaAl3Pb structure.

Summary:
Energy: -2.106 eV/atom
DOS at the Fermi energy: 0.50 states/eV per atom
E_form: 1.27 eV per atom
SG: No. 221
ΔE to the lowest computed polymorph: 376 kJ/mol of formula units

```
data_BaAl3Pb
_symmetry_space_group_name_H-M 'P 1'
_symmetry_Int_Tables_number 1
_cell_length_a 5.830
_cell_length_b 5.830
_cell_length_c 5.830
_cell_angle_alpha 90.00
_cell_angle_beta 90.00
_cell_angle_gamma 90.00
loop_
_symmetry_equiv_pos_as_xyz
'x,y,z'
loop_
_atom_site_label
_atom_site_type_symbol
_atom_site_fract_x
_atom_site_fract_y
_atom_site_fract_z
Pb1 Pb 0.500 0.500 0.500
Ba1 Ba 0.000 0.000 0.000
Al1 Al 0.000 0.500 0.000
Al2 Al 0.000 0.000 0.500
Al3 Al 0.500 0.000 0.000
```

***

Among the records above, which one has the lowest DOS at the Fermi energy?
BaAl3Pb

***

What is the formula in the first record?
Ba3AlPb